RePtPb2 | PBE | optimized geometry

Structure (CIF):
```
data_RePtPb2
_chemical_formula_sum 'Re4 Pt4 Pb8'
_cell_length_a 6.866
_cell_length_b 6.866
_cell_length_c 6.866
_cell_angle_alpha 90.00
_cell_angle_beta 90.00
_cell_angle_gamma 90.00
_space_group_name_H-M_alt 'F m -3 m'
_space_group_IT_number 225
_space_group_name_Hall '-F 4 2 3'
loop_
_atom_site_label
_atom_site_fract_x
_atom_site_fract_y
_atom_site_fract_z
_atom_site_occupancy
Re1 0.000 0.000 0.000 1
Pt1 0.000 0.000 0.500 1
Pb1 0.250 0.250 0.250 1
```

Output
DFT formation energy   0.79 eV/atom
Energy above the lowest structure with this stoichiometry   462.3 meV per atom